Computed, not measured: a relaxed LiZr crystal at the GGA-PBE level of DFT.

Cell: 11.1796 2.8888 5.7136 Å, 90.00 118.13 90.00°
Last column: nearest neighbours and their distance in Å.
Space group C2/m (No. 12)
One atom of each set of equivalent atoms:
Li 0.1403 0.0000 0.4769 [4 per cell]  4 Li 2.75-2.89
Zr 0.1186 0.5000 0.9353 [4 per cell]  5 Zr 2.89-3.07, 5 Li 3.10-3.16

Density: 4.007 g/cm3
Relative energy among the computed polymorphs: 0.337 eV per formula unit
Energy of formation from the pure elements: 0.505 eV per formula unit



Computed, not measured: a relaxed AcThCdIn crystal at the GGA-PBE level of DFT.

Cell: 7.9407 7.9407 7.9407 Å, 90.00 90.00 90.00°
Last column: nearest neighbours and their distance in Å.
Space group F-43m (No. 216)
One atom of each set of equivalent atoms:
Ac 0.0000 0.0000 0.0000 [4 per cell]  4 Cd 3.44, 4 In 3.44
Th 0.0000 0.0000 0.5000 [4 per cell]  4 In 3.44, 4 Cd 3.44
Cd 0.2500 0.2500 0.7500 [4 per cell]  4 Th 3.44, 4 Ac 3.44
In 0.2500 0.2500 0.2500 [4 per cell]  4 Ac 3.44, 4 Th 3.44

Density: 9.104 g/cm3
Energy of formation from the pure elements: -0.806 eV per formula unit



Computed, not measured: a relaxed Ba2Sr2Ca7 crystal at the GGA-PBE level of DFT.

Cell: 12.3276 13.3111 7.0836 Å, 90.00 111.92 90.00°
Last column: nearest neighbours and their distance in Å.
Space group C2/m (No. 12)
One atom of each set of equivalent atoms:
Ba 0.2184 0.0000 0.0862 [4 per cell]  8 Ca 3.95-4.34, 2 Sr 4.17
Sr 0.0000 0.2491 0.0000 [4 per cell]  6 Ca 3.73-3.97, 2 Ba 4.17
Ca 0.0000 0.0000 0.5000 [2 per cell]  4 Ca 3.69, 2 Ba 4.02
Ca 0.0978 0.5000 0.3216 [4 per cell]  3 Ba 3.95-4.34, 2 Sr 3.97, 6 Ca 4.09-4.29
Ca 0.1633 0.2375 0.6509 [8 per cell]  3 Ca 3.56-3.79, 2 Sr 3.73-3.96, 1 Ba 3.97

Density: 2.250 g/cm3
Relative energy among the computed polymorphs: 0.333 eV per formula unit
Energy of formation from the pure elements: 1.069 eV per formula unit



Computed, not measured: a relaxed Zn3RuO3 crystal at the GGA-PBE level of DFT.

Cell: 5.7278 5.7278 5.7278 Å, 90.00 90.00 90.00°
Last column: nearest neighbours and their distance in Å.
Space group Pm-3n (No. 223)
One atom of each set of equivalent atoms:
Zn 0.0000 0.2500 0.5000 [6 per cell]  4 O 2.03
Ru 0.0000 0.0000 0.0000 [2 per cell]  12 O 3.20, 12 Zn 3.20
O 0.0000 0.5000 0.2500 [6 per cell]  4 Zn 2.03

Density: 6.103 g/cm3
Formation energy (no corrections): -0.373 eV per atom



Computed, not measured: a relaxed TbErScPa crystal at the GGA-PBE level of DFT.

Cell: 7.6596 7.6596 7.6596 Å, 90.00 90.00 90.00°
Last column: nearest neighbours and their distance in Å.
Space group F-43m (No. 216)
One atom of each set of equivalent atoms:
Tb 0.0000 0.0000 0.0000 [4 per cell]  4 Pa 3.32, 4 Er 3.32
Er 0.2500 0.2500 0.2500 [4 per cell]  4 Tb 3.32, 4 Sc 3.32
Sc 0.0000 0.0000 0.5000 [4 per cell]  4 Pa 3.32, 4 Er 3.32
Pa 0.2500 0.2500 0.7500 [4 per cell]  4 Tb 3.32, 4 Sc 3.32

Density: 8.901 g/cm3
Energy of formation from the pure elements: 1.222 eV per formula unit



Computed, not measured: a relaxed ZrBr3 crystal at the GGA-PBE level of DFT.

Cell: 6.7150 12.9355 6.1494 Å, 90.00 90.00 90.00°
Last column: nearest neighbours and their distance in Å.
Space group Pnma (No. 62)
One atom of each set of equivalent atoms:
Zr 0.1210 0.2500 0.0850 [4 per cell]  6 Br 2.72-2.78
Br 0.0399 0.7500 0.3255 [4 per cell]  2 Zr 2.75-2.78
Br 0.1721 0.6098 0.8262 [8 per cell]  2 Zr 2.72-2.73

Density: 4.115 g/cm3
Formation energy (no corrections): -1.153 eV per atom



> Which of these has the highest density?

AcThCdIn



> Which of these has the highest density?

AcThCdIn